(1)
Below is crystalline K3HgTe2 at its relaxed geometry, with properties calculated at the GGA-PBE level.

POSCAR file:
```
K3HgTe2
1.0
-0.201 8.014 1.620
-5.339 1.266 -6.926
-3.399 -5.717 7.212
K Te Hg
6 4 2
Cartesian
-6.772 0.467 -3.149 K
-1.435 4.324 -0.921 K
-4.105 4.957 -4.384 K
-2.167 3.097 5.055 K
-4.837 3.731 1.592 K
-4.102 -0.166 0.314 K
-4.565 0.977 3.698 Te
-4.374 2.588 -1.792 Te
-7.146 -1.921 -0.479 Te
-1.793 5.485 2.385 Te
-2.670 0.633 -3.463 Hg
0.000 0.000 0.000 Hg
```

**Raw formation energy**: -720 meV per atom
**DOS(E_F)**: 6.10 states/eV per cell

***

(2)
Below is crystalline KHg2Te at its relaxed geometry, with properties calculated at the GGA-PBE level.

POSCAR file:
```
KHg2Te
1.0
-3.627 -1.563 0.965
1.468 -1.183 3.602
-2.119 6.838 3.109
Hg K Te
2 1 1
Cartesian
-1.535 0.098 2.952 Hg
-2.080 6.714 3.053 Hg
-1.077 3.477 1.581 K
-2.763 4.061 4.754 Te
```

**Raw formation energy**: -288 meV per atom
**DOS(E_F)**: 0.80 states/eV per cell

***

(3)
Below is crystalline KHgTe2 at its relaxed geometry, with properties calculated at the GGA-PBE level.

POSCAR file:
```
KHgTe2
1.0
6.926 0.045 -0.062
3.384 6.043 0.062
-4.527 -4.107 3.257
Te Hg K
2 1 1
Cartesian
3.825 -0.481 1.598 Te
9.792 5.783 0.000 Te
5.627 3.323 0.000 Hg
2.004 2.489 1.659 K
```

**Raw formation energy**: -275 meV per atom
**DOS(E_F)**: 1.90 states/eV per cell

***

(4)
Below is crystalline KHgTe2 at its relaxed geometry, with properties calculated at the GGA-PBE level.

POSCAR file:
```
KHgTe2
1.0
-4.536 -2.623 -2.126
-2.398 -4.256 2.848
-5.065 0.711 2.410
Te K Hg
2 1 1
Cartesian
0.000 0.000 0.000 Te
-3.000 -1.542 0.783 Te
-9.000 -4.626 2.350 K
-6.000 -3.084 1.567 Hg
```

**Raw formation energy**: -169 meV per atom
**DOS(E_F)**: 2.16 states/eV per cell

***

(5)
Below is crystalline KHgTe2 at its relaxed geometry, with properties calculated at the GGA-PBE level.

POSCAR file:
```
KHgTe2
1.0
-4.255 -5.846 -1.125
-3.805 -5.630 2.715
-4.524 3.240 0.347
Hg K Te
1 1 2
Cartesian
-6.395 -3.040 0.920 Hg
-8.408 -5.928 1.319 K
-2.813 -2.794 0.487 Te
-1.258 -0.594 0.181 Te
```

**Raw formation energy**: -343 meV per atom
**DOS(E_F)**: 1.79 states/eV per cell

***

(6)
Below is crystalline KHgTe2 at its relaxed geometry, with properties calculated at the GGA-PBE level.

POSCAR file:
```
KHgTe2
1.0
-2.234 5.235 -11.289
-5.246 6.041 -9.789
-2.500 8.106 -9.375
Te K Hg
2 1 1
Cartesian
-2.359 4.581 -7.198 Te
-0.128 0.249 -0.391 Te
-7.536 14.637 -22.997 K
-4.946 9.607 -15.094 Hg
```

**Raw formation energy**: -14 meV per atom
**DOS(E_F)**: 2.31 states/eV per cell